Entry from the Alexandria database: a relaxed Y2HoScSe4 crystal (GGA-PBE).

Cell and atoms, written as extended XYZ:
```
8
Lattice="6.9905 0.0000 0.0000 0.0000 3.9953 0.0000 -2.2889 0.0000 6.6305" Properties=species:S:1:pos:R:3 pbc="T T T"
Y 0.0000 0.0000 0.0000
Y 3.4952 1.9976 0.0000
Ho -1.1444 1.9976 3.3153
Sc 2.3508 0.0000 3.3153
Se 0.0728 0.0000 4.9242
Se 1.2176 1.9976 1.7355
Se 3.4840 1.9976 4.8950
Se 4.6289 0.0000 1.7063
```

**Symmetry**: P2/m (10)
**Size of the total moment**: 0.000 μB/cell
**Crystal system**: monoclinic
**Mass density**: 6.3 Mg/m³
**E**: -6.423 eV/atom
**E_form (uncorrected)**: -1.7015 eV/atom

=====

Entry from the Alexandria database: a relaxed TlSb2TeMo crystal (GGA-PBE).

Cell and atoms, written as extended XYZ:
```
5
Lattice="5.2553 0.0000 0.0000 0.0000 5.2553 0.0000 0.0000 0.0000 5.5807" Properties=species:S:1:pos:R:3 pbc="T T T"
Tl 0.0000 0.0000 0.0000
Sb 0.0000 2.6276 2.7903
Sb 2.6276 0.0000 2.7903
Te 2.6276 2.6276 0.0000
Mo 2.6276 2.6276 2.7903
```

**Symmetry**: P4/mmm (123)
**Size of the total moment**: 0.000 μB/cell
**Crystal system**: tetragonal
**Mass density**: 7.2 Mg/m³
**Excess energy over the best structure of this formula in the dataset**: 0 kJ/mol of formula units
**E**: -4.574 eV/atom
**E_form (uncorrected)**: 0.3425 eV/atom

=====

Entry from the Alexandria database: a relaxed SrV2Rh2 crystal (GGA-PBE).

Cell and atoms, written as extended XYZ:
```
10
Lattice="7.7818 0.0000 0.0000 0.0000 7.7818 0.0000 0.0000 0.0000 2.8200" Properties=species:S:1:pos:R:3 pbc="T T T"
Sr 0.0000 0.0000 0.0000
Sr 3.8909 3.8909 0.0000
V 0.8284 3.0625 0.0000
V 3.0625 6.9534 0.0000
V 4.7193 0.8284 0.0000
V 6.9534 4.7193 0.0000
Rh 1.3756 5.2665 1.4100
Rh 2.5153 1.3756 1.4100
Rh 5.2665 6.4062 1.4100
Rh 6.4062 2.5153 1.4100
```

**Symmetry**: P4/mbm (127)
**Size of the total moment**: 0.022 μB/cell
**Crystal system**: tetragonal
**Mass density**: 7.7 Mg/m³
**Calculated formation energy**: -0.0216 eV/atom
**Excess energy over the best structure of this formula in the dataset**: 0 kJ/mol of formula units
**E**: -6.946 eV/atom

=====

Entry from the Alexandria database: a relaxed Ho8NiRu5 crystal (GGA-PBE).

Cell and atoms, written as extended XYZ:
```
14
Lattice="-4.2388 4.2388 4.2446 4.2388 -4.2388 4.2446 4.2388 4.2388 -4.2446" Properties=species:S:1:pos:R:3 pbc="T T T"
Ho 4.8776 -2.6922 2.7562
Ho 1.5466 -0.6388 1.4885
Ho 3.7437 1.5643 -0.4006
Ho 6.9310 0.6388 1.4885
Ho 2.6745 -0.4951 4.6452
Ho 1.5643 4.7339 0.4006
Ho 3.6000 2.6922 2.7562
Ho 0.4951 2.6745 3.8440
Ni 0.0000 0.0000 4.2446
Ru 4.2388 0.0000 2.1223
Ru 1.1602 2.1039 1.2222
Ru -2.1349 3.0786 3.0224
Ru -1.1602 6.3738 1.2222
Ru 2.1349 5.3990 3.0224
```

**Symmetry**: I-4 (82)
**Size of the total moment**: 0.000 μB/cell
**Crystal system**: tetragonal
**Mass density**: 10.3 Mg/m³
**Calculated formation energy**: -0.2446 eV/atom
**E**: -6.586 eV/atom

=====

Entry from the Alexandria database: a relaxed CdBRh3 crystal (GGA-PBE).

Cell and atoms, written as extended XYZ:
```
10
Lattice="2.8538 0.0000 0.0000 0.0010 5.3907 0.0000 1.4242 2.1945 9.0281" Properties=species:S:1:pos:R:3 pbc="T T T"
Cd 0.7125 1.9869 3.2149
Cd 3.5665 5.5983 5.8132
B 0.7147 4.7402 1.8966
B 3.5643 2.8450 7.1315
Rh 2.1386 6.9023 8.0410
Rh 2.1381 4.2530 8.0130
Rh 2.1371 2.9129 5.5612
Rh 2.1419 4.6722 3.4670
Rh 2.1409 3.3322 1.0151
Rh 2.1404 0.6829 0.9871
```

**Symmetry**: P-1 (2)
**Size of the total moment**: 0.000 μB/cell
**Crystal system**: triclinic
**Mass density**: 10.3 Mg/m³
**Calculated formation energy**: -0.2050 eV/atom
**Excess energy over the best structure of this formula in the dataset**: 3 kJ/mol of formula units
**E**: -6.134 eV/atom

=====

Entry from the Alexandria database: a relaxed TaAlFe crystal (GGA-PBE).

Cell and atoms, written as extended XYZ:
```
3
Lattice="0.0000 2.8944 2.8944 2.8944 0.0000 2.8944 2.8944 2.8944 0.0000" Properties=species:S:1:pos:R:3 pbc="T T T"
Ta 0.0000 0.0000 0.0000
Al 2.8944 2.8944 2.8944
Fe 4.3417 4.3417 4.3417
```

**Symmetry**: F-43m (216)
**Size of the total moment**: 0.000 μB/cell
**Crystal system**: cubic
**Mass density**: 9.0 Mg/m³
**Calculated formation energy**: 0.0201 eV/atom
**Excess energy over the best structure of this formula in the dataset**: 102 kJ/mol of formula units
**E**: -7.999 eV/atom

=====

Entry from the Alexandria database: a relaxed NaSmHf4O12 crystal (GGA-PBE).

Cell and atoms, written as extended XYZ:
```
18
Lattice="8.1776 0.0000 0.0000 0.0000 4.0197 4.0391 0.0000 -4.0197 4.0391" Properties=species:S:1:pos:R:3 pbc="T T T"
Na 0.0000 0.0000 0.0000
Sm 4.0888 0.0000 4.2126
Hf 1.9671 -1.9662 2.1016
Hf 1.9671 1.9662 2.1016
Hf 6.2105 -1.9662 2.1016
Hf 6.2105 1.9662 2.1016
O 0.0000 -1.6527 6.3400
O 0.0000 1.6527 6.3400
O 1.6560 0.0000 1.7165
O 2.3244 -1.7076 4.1175
O 2.3244 1.7076 4.1175
O 2.5427 0.0000 6.1226
O 4.0888 -1.4915 2.2412
O 4.0888 1.4915 2.2412
O 5.6349 0.0000 6.1226
O 5.8533 -1.7076 4.1175
O 5.8533 1.7076 4.1175
O 6.5216 0.0000 1.7165
```

**Symmetry**: Amm2 (38)
**Size of the total moment**: 4.028 μB/cell
**Crystal system**: orthorhombic
**Mass density**: 6.7 Mg/m³
**E**: -8.592 eV/atom
**E_form (uncorrected)**: -2.7392 eV/atom

=====

Entry from the Alexandria database: a relaxed V3CuRh crystal (GGA-PBE).

Cell and atoms, written as extended XYZ:
```
5
Lattice="4.5308 0.0000 0.0000 0.0000 4.5308 0.0000 0.0000 0.0000 4.5308" Properties=species:S:1:pos:R:3 pbc="T T T"
V 0.0000 0.0000 2.2654
V 0.0000 2.2654 0.0000
V 2.2654 0.0000 0.0000
Cu 2.2654 2.2654 2.2654
Rh 0.0000 0.0000 0.0000
```

**Symmetry**: Pm-3m (221)
**Size of the total moment**: 0.001 μB/cell
**Crystal system**: cubic
**Mass density**: 5.7 Mg/m³
**Calculated formation energy**: 1.1921 eV/atom
**Excess energy over the best structure of this formula in the dataset**: 4 kJ/mol of formula units
**E**: -6.569 eV/atom

=====

Entry from the Alexandria database: a relaxed EuErThSc crystal (GGA-PBE).

Cell and atoms, written as extended XYZ:
```
4
Lattice="0.0000 3.9665 3.9665 3.9665 0.0000 3.9665 3.9665 3.9665 0.0000" Properties=species:S:1:pos:R:3 pbc="T T T"
Eu 0.0000 0.0000 0.0000
Er 5.9497 5.9497 5.9497
Th 3.9665 3.9665 3.9665
Sc 1.9832 1.9832 1.9832
```

**Symmetry**: F-43m (216)
**Size of the total moment**: 7.087 μB/cell
**Crystal system**: cubic
**Mass density**: 7.9 Mg/m³
**Calculated formation energy**: 0.1874 eV/atom
**E**: -6.960 eV/atom

=====

Entry from the Alexandria database: a relaxed DyHo4Tm5 crystal (GGA-PBE).

Cell and atoms, written as extended XYZ:
```
10
Lattice="3.5080 0.0000 0.0000 -1.6735 6.4152 0.0000 -0.4068 -2.0445 13.6395" Properties=species:S:1:pos:R:3 pbc="T T T"
Dy 0.0000 0.0000 0.0000
Ho -0.9554 4.8090 2.9336
Ho -0.9850 2.9441 10.9954
Ho 2.4127 1.4267 2.6442
Ho 2.3831 -0.4383 10.7059
Tm -1.0143 4.4360 7.9600
Tm 0.7152 1.4544 8.3719
Tm 0.9173 3.2076 0.0000
Tm 0.7125 2.9164 5.2676
Tm 2.4421 -0.0652 5.6795
```

**Symmetry**: P-1 (2)
**Size of the total moment**: 0.000 μB/cell
**Crystal system**: triclinic
**Mass density**: 9.0 Mg/m³
**Calculated formation energy**: 0.0595 eV/atom
**Excess energy over the best structure of this formula in the dataset**: 0 kJ/mol of formula units
**E**: -4.468 eV/atom

=====

Entry from the Alexandria database: a relaxed SrCu3C crystal (GGA-PBE).

Cell and atoms, written as extended XYZ:
```
5
Lattice="5.5294 0.0000 0.0000 0.0000 5.5294 0.0000 0.0000 0.0000 5.5294" Properties=species:S:1:pos:R:3 pbc="T T T"
Sr 0.0000 0.0000 0.0000
Cu 0.0000 0.0000 2.7647
Cu 0.0000 2.7647 0.0000
Cu 2.7647 0.0000 0.0000
C 2.7647 2.7647 2.7647
```

**Symmetry**: Pm-3m (221)
**Size of the total moment**: 1.000 μB/cell
**Crystal system**: cubic
**Mass density**: 2.9 Mg/m³
**Calculated formation energy**: 2.6641 eV/atom
**Excess energy over the best structure of this formula in the dataset**: 1082 kJ/mol of formula units
**E**: -1.975 eV/atom

=====

Entry from the Alexandria database: a relaxed CuSn2Ge2 crystal (GGA-PBE).

Cell and atoms, written as extended XYZ:
```
10
Lattice="6.5399 0.0000 0.0000 0.0000 6.5399 0.0000 0.0000 0.0000 5.0326" Properties=species:S:1:pos:R:3 pbc="T T T"
Cu 0.0000 0.0000 0.0000
Cu 3.2700 3.2700 0.0000
Sn 1.2179 2.0521 2.5163
Sn 2.0521 5.3220 2.5163
Sn 4.4879 1.2179 2.5163
Sn 5.3220 4.4879 2.5163
Ge 0.9196 4.1896 0.0000
Ge 2.3504 0.9196 0.0000
Ge 4.1896 5.6203 0.0000
Ge 5.6203 2.3504 0.0000
```

**Symmetry**: P4/mbm (127)
**Size of the total moment**: 0.000 μB/cell
**Crystal system**: tetragonal
**Mass density**: 6.9 Mg/m³
**Calculated formation energy**: 0.1747 eV/atom
**Excess energy over the best structure of this formula in the dataset**: 0 kJ/mol of formula units
**E**: -4.093 eV/atom

=====

- What is the E in the seventh record?
  -8.592 eV/atom